MoIrSe2: optimized geometry, GGA-PBEsol.

## Properties
Formation energy from raw total energies, eV per atom: 0.3484
M_tot, μB/f.u.: 0.0
DOS(E_F), states/eV/f.u.: 3.307

```
MoIrSe2
1.0
-5.075 1.530 1.617
0.428 -3.281 4.446
4.490 5.037 -0.169
Se Ir Mo
4 2 2
Direct
0.878 0.375 0.250
0.625 0.628 0.750
0.372 0.875 0.250
0.125 0.122 0.750
0.250 0.750 0.500
0.000 0.000 0.000
0.750 0.250 0.500
0.500 0.500 0.000
```